# 1
## TiNbIr2Br (PBE-GGA)

Data for a relaxed structure of TiNbIr2Br.

extended XYZ file:
```
5
Lattice="4.636 0.000 0.000 0.000 4.636 0.000 0.000 0.000 4.471" Properties=species:S:1:pos:R:3 pbc="T T T"
Ti 0.000 0.000 0.000
Nb 2.318 2.318 0.000
Ir 0.000 2.318 2.236
Ir 2.318 0.000 2.236
Br 0.000 0.000 2.236
```

Output
Uncorrected formation energy (eV/atom): 1.189
E (Ha/atom): -0.231

***

# 2
## NbTl2IrBr (PBE-GGA)

Data for a relaxed structure of NbTl2IrBr.

extended XYZ file:
```
5
Lattice="5.619 0.000 0.000 0.000 5.619 0.000 0.000 0.000 4.883" Properties=species:S:1:pos:R:3 pbc="T T T"
Nb 0.000 0.000 0.000
Tl 0.000 2.809 0.000
Tl 2.809 0.000 0.000
Ir 2.809 2.809 2.441
Br 0.000 0.000 2.441
```

Output
Uncorrected formation energy (eV/atom): 1.294
E (Ha/atom): -0.139

***

# 3
## ZrNbIr2Br (PBE-GGA)

Data for a relaxed structure of ZrNbIr2Br.

extended XYZ file:
```
5
Lattice="4.873 0.000 0.000 0.000 4.873 0.000 0.000 0.000 5.226" Properties=species:S:1:pos:R:3 pbc="T T T"
Zr 0.000 0.000 0.000
Nb 0.000 0.000 2.613
Ir 0.000 2.436 0.000
Ir 2.436 0.000 0.000
Br 2.436 2.436 2.613
```

Output
Uncorrected formation energy (eV/atom): 1.718
E (Ha/atom): -0.216

***

# 4
## Nd6Ir3Br2 (PBE-GGA)

Data for a relaxed structure of Nd6Ir3Br2.

extended XYZ file:
```
11
Lattice="3.630 -6.297 0.000 3.630 6.297 0.000 -2.430 0.000 7.586" Properties=species:S:1:pos:R:3 pbc="T T T"
Nd -0.015 2.093 6.084
Nd 1.203 0.000 1.478
Nd -0.015 -2.093 6.084
Nd 4.845 2.093 1.502
Nd 3.627 0.000 6.109
Nd 4.845 -2.093 1.502
Ir 3.630 4.167 0.000
Ir 3.630 0.000 0.000
Ir 3.630 -4.167 0.000
Br 2.415 2.097 3.793
Br 2.415 -2.097 3.793
```

Output
Uncorrected formation energy (eV/atom): -0.892
E (Ha/atom): -0.228

***

# 5
## Nd2IrBr (PBE-GGA)

Data for a relaxed structure of Nd2IrBr.

extended XYZ file:
```
4
Lattice="2.085 1.204 7.786 -2.085 1.204 7.786 0.000 -2.408 7.786" Properties=species:S:1:pos:R:3 pbc="T T T"
Nd 0.000 0.000 5.405
Nd 0.000 0.000 17.953
Ir 0.000 0.000 11.679
Br 0.000 0.000 0.000
```

Output
Uncorrected formation energy (eV/atom): -1.093
E (Ha/atom): -0.225

***

# 6
## Nd2IrBr (PBE-GGA)

Data for a relaxed structure of Nd2IrBr.

extended XYZ file:
```
4
Lattice="3.499 0.000 0.000 0.000 3.499 0.000 0.000 0.000 8.352" Properties=species:S:1:pos:R:3 pbc="T T T"
Nd 0.000 0.000 1.757
Nd 0.000 0.000 6.595
Ir 1.750 1.750 0.000
Br 1.750 1.750 4.176
```

Output
Uncorrected formation energy (eV/atom): -0.906
E (Ha/atom): -0.218

***

# 7
## Nd4Ir2Br3 (PBE-GGA)

Data for a relaxed structure of Nd4Ir2Br3.

extended XYZ file:
```
9
Lattice="3.581 -2.068 0.000 3.581 2.068 0.000 -0.012 0.000 18.794" Properties=species:S:1:pos:R:3 pbc="T T T"
Nd 0.001 0.000 5.592
Nd 2.389 0.000 2.402
Nd 4.761 0.000 16.392
Nd 7.149 0.000 13.202
Ir 2.374 0.000 14.884
Ir 4.776 0.000 3.910
Br 0.000 0.000 0.000
Br 2.389 0.000 7.537
Br 4.762 0.000 11.257
```

Output
Uncorrected formation energy (eV/atom): -1.197
E (Ha/atom): -0.215

***

# 8
## Nd4Ir2Br (PBE-GGA)

Data for a relaxed structure of Nd4Ir2Br.

extended XYZ file:
```
7
Lattice="2.105 1.215 14.156 -2.105 1.215 14.156 0.000 -2.430 14.156" Properties=species:S:1:pos:R:3 pbc="T T T"
Nd 0.000 0.000 5.327
Nd 0.000 0.000 11.785
Nd 0.000 0.000 30.683
Nd 0.000 0.000 37.141
Ir 0.000 0.000 18.025
Ir 0.000 0.000 24.443
Br 0.000 0.000 0.000
```

Output
Uncorrected formation energy (eV/atom): -0.822
E (Ha/atom): -0.232

***

# 9
## Nd2IrBr (PBE-GGA)

Data for a relaxed structure of Nd2IrBr.

extended XYZ file:
```
4
Lattice="2.081 1.202 7.889 -2.081 1.202 7.889 0.000 -2.403 7.889" Properties=species:S:1:pos:R:3 pbc="T T T"
Nd 0.000 0.000 0.000
Nd 0.000 0.000 4.858
Ir 0.000 0.000 14.260
Br 0.000 0.000 10.246
```

Output
Uncorrected formation energy (eV/atom): -1.071
E (Ha/atom): -0.224

***

# 10
## NdIrBr (PBE-GGA)

Data for a relaxed structure of NdIrBr.

extended XYZ file:
```
6
Lattice="3.754 -2.167 0.000 3.754 2.167 0.000 -0.310 0.000 11.149" Properties=species:S:1:pos:R:3 pbc="T T T"
Nd 0.000 0.000 1.905
Nd 7.197 0.000 9.244
Ir 2.502 0.000 0.039
Ir 4.695 0.000 11.110
Br 2.191 0.000 7.387
Br 5.006 0.000 3.762
```

Output
Uncorrected formation energy (eV/atom): -1.247
E (Ha/atom): -0.233

***

# 11
## Nd8NiIr3Br4 (PBE-GGA)

Data for a relaxed structure of Nd8NiIr3Br4.

extended XYZ file:
```
16
Lattice="7.178 -4.144 0.000 7.178 4.144 0.000 -4.786 0.000 7.804" Properties=species:S:1:pos:R:3 pbc="T T T"
Nd 3.604 2.087 5.412
Nd -0.001 0.000 5.415
Nd 5.966 2.087 2.392
Nd 2.386 0.000 2.367
Nd 7.184 0.000 5.436
Nd 3.604 -2.087 5.412
Nd 9.571 0.000 2.389
Nd 5.966 -2.087 2.392
Ni -2.393 0.000 3.902
Ir 1.196 2.072 3.902
Ir 1.196 -2.072 3.902
Ir 4.785 0.000 3.902
Br 0.000 0.000 0.000
Br 3.589 2.072 0.000
Br 3.589 -2.072 0.000
Br 7.178 0.000 0.000
```

Output
Uncorrected formation energy (eV/atom): -1.046
E (Ha/atom): -0.216

***

# 12
## Nd8Ni3IrBr4 (PBE-GGA)

Data for a relaxed structure of Nd8Ni3IrBr4.

extended XYZ file:
```
16
Lattice="4.100 2.367 7.768 -4.100 2.367 7.768 0.000 -4.734 7.768" Properties=species:S:1:pos:R:3 pbc="T T T"
Nd -2.065 -1.192 13.167
Nd 0.000 0.000 5.369
Nd 0.000 -2.384 10.137
Nd -2.065 1.192 10.137
Nd 2.065 -1.192 13.167
Nd 0.000 2.384 13.167
Nd 0.000 0.000 17.934
Nd 2.065 1.192 10.137
Ni -4.100 0.000 11.652
Ni -2.050 1.184 3.884
Ni 2.050 1.184 3.884
Ir 0.000 0.000 11.652
Br 0.000 0.000 0.000
Br -2.050 -1.184 7.768
Br -2.050 1.184 15.536
Br 0.000 2.367 7.768
```

Output
Uncorrected formation energy (eV/atom): -0.881
E (Ha/atom): -0.196

***

# 13
## Nd4NiIrBr2 (PBE-GGA)

Data for a relaxed structure of Nd4NiIrBr2.

extended XYZ file:
```
8
Lattice="7.130 0.000 0.000 0.000 4.133 0.000 -2.392 0.000 7.790" Properties=species:S:1:pos:R:3 pbc="T T T"
Nd 1.172 0.000 1.501
Nd -0.035 2.066 6.273
Nd 4.773 2.066 1.517
Nd 3.566 0.000 6.289
Ni 0.000 2.066 0.000
Ir 3.565 0.000 0.000
Br -1.196 0.000 3.895
Br 2.369 2.066 3.895
```

Output
Uncorrected formation energy (eV/atom): -0.957
E (Ha/atom): -0.205

***

# 14
## Nd6Ir2Br3O (PBE-GGA)

Data for a relaxed structure of Nd6Ir2Br3O.

extended XYZ file:
```
12
Lattice="3.462 -6.001 0.000 3.462 6.001 0.000 -2.318 0.000 7.806" Properties=species:S:1:pos:R:3 pbc="T T T"
Nd 1.087 1.886 1.506
Nd -0.147 0.000 6.299
Nd 1.087 -1.886 1.506
Nd 3.519 1.886 6.300
Nd 4.753 0.000 1.507
Nd 3.519 -1.886 6.300
Ir 3.462 1.995 0.000
Ir 3.462 -1.995 0.000
Br 2.303 3.940 3.903
Br 2.303 0.000 3.903
Br 2.303 -3.940 3.903
O 0.000 0.000 0.000
```

Output
Uncorrected formation energy (eV/atom): -1.334
E (Ha/atom): -0.221

***

# 15
## Nd8IrOs3Br4 (PBE-GGA)

Data for a relaxed structure of Nd8IrOs3Br4.

extended XYZ file:
```
16
Lattice="4.144 2.392 7.801 -4.144 2.392 7.801 0.000 -4.785 7.801" Properties=species:S:1:pos:R:3 pbc="T T T"
Nd -2.098 -1.211 13.231
Nd 0.000 0.000 5.442
Nd 0.000 -2.422 10.172
Nd -2.098 1.211 10.172
Nd 2.098 -1.211 13.231
Nd 0.000 2.422 13.231
Nd 0.000 0.000 17.961
Nd 2.098 1.211 10.172
Ir 0.000 0.000 11.702
Os -4.144 0.000 11.702
Os -2.072 1.196 3.901
Os 2.072 1.196 3.901
Br 0.000 0.000 0.000
Br -2.072 -1.196 7.801
Br -2.072 1.196 15.602
Br 0.000 2.392 7.801
```

Output
Uncorrected formation energy (eV/atom): -0.743
E (Ha/atom): -0.228

***

# 16
## Nd8Ir3OsBr4 (PBE-GGA)

Data for a relaxed structure of Nd8Ir3OsBr4.

extended XYZ file:
```
16
Lattice="7.191 -4.152 0.000 7.191 4.152 0.000 -4.802 0.000 7.814" Properties=species:S:1:pos:R:3 pbc="T T T"
Nd -0.034 0.000 5.438
Nd 3.607 2.102 5.438
Nd 5.973 2.102 2.377
Nd 2.392 0.000 2.396
Nd 7.187 0.000 5.418
Nd 3.607 -2.102 5.438
Nd 5.973 -2.102 2.377
Nd 9.613 0.000 2.376
Ir 1.194 2.076 3.907
Ir 1.194 -2.076 3.907
Ir 4.790 0.000 3.907
Os -2.401 0.000 3.907
Br 0.000 0.000 0.000
Br 3.595 2.076 0.000
Br 3.595 -2.076 0.000
Br 7.191 0.000 0.000
```

Output
Uncorrected formation energy (eV/atom): -0.986
E (Ha/atom): -0.226

***

# 17
## Nd8PIr3Br4 (PBE-GGA)

Data for a relaxed structure of Nd8PIr3Br4.

extended XYZ file:
```
16
Lattice="4.204 2.427 7.681 -4.204 2.427 7.681 0.000 -4.855 7.681" Properties=species:S:1:pos:R:3 pbc="T T T"
Nd -2.160 -1.247 13.028
Nd 0.000 0.000 5.350
Nd 0.000 -2.494 10.017
Nd -2.160 1.247 10.017
Nd 2.160 -1.247 13.028
Nd 0.000 2.494 13.028
Nd 0.000 0.000 17.694
Nd 2.160 1.247 10.016
P 0.000 0.000 11.522
Ir -4.204 0.000 11.522
Ir -2.102 1.214 3.841
Ir 2.102 1.214 3.841
Br 0.000 0.000 0.000
Br -2.102 -1.214 7.681
Br -2.102 1.214 15.363
Br 0.000 2.427 7.681
```

Output
Uncorrected formation energy (eV/atom): -1.151
E (Ha/atom): -0.219

***

# 18
## Nd4PIrBr2 (PBE-GGA)

Data for a relaxed structure of Nd4PIrBr2.

extended XYZ file:
```
8
Lattice="7.535 0.000 0.000 0.000 4.096 0.000 -2.303 0.000 7.466" Properties=species:S:1:pos:R:3 pbc="T T T"
Nd 1.208 0.000 1.472
Nd 0.157 2.048 5.956
Nd 5.075 2.048 1.509
Nd 4.024 0.000 5.994
P 3.768 0.000 0.000
Ir 0.000 2.048 0.000
Br -1.151 0.000 3.733
Br 2.616 2.048 3.733
```

Output
Uncorrected formation energy (eV/atom): -1.242
E (Ha/atom): -0.214

***

# 19
## Nd8P3IrBr4 (PBE-GGA)

Data for a relaxed structure of Nd8P3IrBr4.

extended XYZ file:
```
16
Lattice="4.205 2.428 7.291 -4.205 2.428 7.291 0.000 -4.855 7.291" Properties=species:S:1:pos:R:3 pbc="T T T"
Nd 0.000 0.000 5.139
Nd -2.071 -1.195 12.421
Nd 0.000 -2.391 9.453
Nd -2.071 1.195 9.453
Nd 2.071 -1.195 12.421
Nd 0.000 2.391 12.421
Nd 2.071 1.195 9.453
Nd 0.000 0.000 16.735
P -4.205 0.000 10.937
P -2.102 1.214 3.646
P 2.102 1.214 3.646
Ir 0.000 0.000 10.937
Br 0.000 0.000 0.000
Br -2.102 -1.214 7.291
Br -2.102 1.214 14.582
Br 0.000 2.428 7.291
```

Output
Uncorrected formation energy (eV/atom): -1.363
E (Ha/atom): -0.211

***

# 20
## Nd3IrPbBr (PBE-GGA)

Data for a relaxed structure of Nd3IrPbBr.

extended XYZ file:
```
12
Lattice="7.986 0.000 0.000 0.000 4.535 0.000 -3.727 0.000 9.605" Properties=species:S:1:pos:R:3 pbc="T T T"
Nd -1.130 1.134 3.480
Nd -2.100 1.134 9.495
Nd 1.105 3.401 5.788
Nd 3.154 1.134 3.817
Nd 6.359 3.401 0.110
Nd 5.389 3.401 6.125
Ir -0.596 1.134 6.201
Ir 4.855 3.401 3.404
Pb 1.005 3.401 2.247
Pb 3.254 1.134 7.359
Br -0.390 3.401 8.499
Br 4.649 1.134 1.106
```

Output
Uncorrected formation energy (eV/atom): -0.708
E (Ha/atom): -0.201